Entry 1:
Hf2Zn2Ga: optimized geometry, PBE.

a b c (Å): 7.525 7.525 3.414
angles (deg): 90.00 90.00 90.00
Positions (direct):
Hf 0.834 0.666 0.000
Ga 0.000 0.000 0.000
Hf 0.166 0.334 0.000
Hf 0.334 0.834 0.000
Ga 0.500 0.500 0.000
Zn 0.633 0.867 0.500
Zn 0.367 0.133 0.500
Zn 0.867 0.367 0.500
Zn 0.133 0.633 0.500
Hf 0.666 0.166 0.000

Values from the calculation:
spin magnetization	0.0	μB/cell
energy relative to the elements	0.036	eV/atom

Entry 2:
MgCdRuSe2: optimized geometry, PBE.

a b c (Å): 4.855 5.064 4.855
angles (deg): 90.00 90.00 90.00
Positions (direct):
Se 0.500 0.000 0.000
Mg 0.000 0.500 0.000
Se 0.000 0.000 0.500
Ru 0.000 0.000 0.000
Cd 0.500 0.500 0.500

Values from the calculation:
spin magnetization	0.0	μB/cell
formation energy without anion corrections	0.148	eV per atom

Entry 3:
Sc2Cu2Hg: optimized geometry, PBE.

a b c (Å): 5.103 5.103 5.224
angles (deg): 60.77 60.77 90.00
Positions (direct):
Sc 0.250 0.750 0.500
Cu 0.355 0.355 0.291
Hg 0.000 0.000 0.000
Cu 0.645 0.645 0.709
Sc 0.750 0.250 0.500

Values from the calculation:
spin magnetization	0.0	μB/cell
energy relative to the elements	-0.046	eV/atom